Run A
# Cs2NiI

Crystalline Cs2NiI at its relaxed geometry (PBE, Alexandria via LeMat-Bulk).

Properties
total magnetic moment = 0.250 μB/atom

Unit cell a=6.465 b=6.465 c=6.465 alpha=60.00 beta=60.00 gamma=60.00
Atoms (fractional coordinates):
Cs: 0.250 0.250 0.250
Cs: 0.750 0.750 0.750
Ni: 0.000 0.000 0.000
I: 0.500 0.500 0.500

=====

Run B
# Cs2NiI

Crystalline Cs2NiI at its relaxed geometry (PBE, Alexandria via LeMat-Bulk).

Properties
total magnetic moment = 0.250 μB/atom

Unit cell a=10.570 b=10.570 c=10.570 alpha=132.85 beta=132.85 gamma=68.89
Atoms (fractional coordinates):
Cs: 0.108 0.625 0.983
Cs: 0.375 0.358 0.483
Cs: 0.642 0.125 0.017
Cs: 0.875 0.892 0.517
Ni: 0.000 0.000 0.000
Ni: 0.750 0.250 0.500
I: 0.250 0.750 0.500
I: 0.500 0.500 0.000

=====

Most stable = run A